Entry from Alexandria via LeMat-Bulk: a PBEsol-optimized structure of FeRh3Au (meta-GGA SCAN).

abc: 4.7258 4.7258 4.7258
angles: 90.00 90.00 90.00
With the nearest neighbours (Å) after each atom.
Atoms (fractional coordinates):
Au1 0.0000 0.0000 0.0000  6 Rh 2.36
Rh1 0.0000 0.5000 0.0000  2 Au 2.36
Rh2 0.0000 0.0000 0.5000  2 Au 2.36
Fe1 0.5000 0.5000 0.5000  12 Rh 3.34
Rh3 0.5000 0.0000 0.0000  2 Au 2.36

Output
Formation enthalpy at 0 K (eV/f.u.): 9.6
Density (g cm⁻³): 8.83
Magnetization (μB per cell): 6.42
DOS(E_F) (states/eV/cell): 11.24
DFT total energy (eV per atom): -35.793
Symmetry: No. 221